The following is a PBEsol calculation of a relaxed structure of CaSnP2C, from the Alexandria database.

Cell and atoms, written as CIF:
```
data_CaSnP2C
_space_group_name_H-M_alt 'P 4/m m m'
_space_group_IT_number 123
_space_group_name_Hall '-P 4 2'
_cell_length_a 5.099
_cell_length_b 5.099
_cell_length_c 4.189
_cell_angle_alpha 90.00
_cell_angle_beta 90.00
_cell_angle_gamma 90.00
loop_
_atom_site_label
_atom_site_type_symbol
_atom_site_fract_x
_atom_site_fract_y
_atom_site_fract_z
Ca1 Ca 0.000 0.000 0.000
Sn1 Sn 0.500 0.500 0.500
P1 P 0.000 0.500 0.500
C1 C 0.500 0.500 0.000
```

Its density of states at the Fermi level is 4.8 states/eV/f.u. The calculation puts the energy of formation at 0.959 eV/atom.

=====

The following is a PBEsol calculation of a relaxed structure of Ca2PdC, from the Alexandria database.

Cell and atoms, written as CIF:
```
data_Ca2PdC
_space_group_name_H-M_alt 'I -4 2 d'
_space_group_IT_number 122
_space_group_name_Hall 'I -4 2bw'
_cell_length_a 9.900
_cell_length_b 9.900
_cell_length_c 3.885
_cell_angle_alpha 90.00
_cell_angle_beta 90.00
_cell_angle_gamma 90.00
loop_
_atom_site_label
_atom_site_type_symbol
_atom_site_fract_x
_atom_site_fract_y
_atom_site_fract_z
Ca1 Ca 0.054 0.750 0.125
Pd1 Pd 0.000 0.000 0.500
C1 C 0.000 0.000 0.000
```

Its density of states at the Fermi level is 2.7 states/eV/f.u. The calculation puts the energy of formation at -0.071 eV/atom.

=====

The following is a PBEsol calculation of a relaxed structure of Ca2PtC, from the Alexandria database.

Cell and atoms, written as CIF:
```
data_Ca2PtC
_space_group_name_H-M_alt 'I -4 2 d'
_space_group_IT_number 122
_space_group_name_Hall 'I -4 2bw'
_cell_length_a 9.971
_cell_length_b 9.971
_cell_length_c 3.848
_cell_angle_alpha 90.00
_cell_angle_beta 90.00
_cell_angle_gamma 90.00
loop_
_atom_site_label
_atom_site_type_symbol
_atom_site_fract_x
_atom_site_fract_y
_atom_site_fract_z
Ca1 Ca 0.056 0.750 0.125
Pt1 Pt 0.000 0.000 0.500
C1 C 0.000 0.000 0.000
```

Its density of states at the Fermi level is 2.3 states/eV/f.u. The calculation puts the energy of formation at -0.300 eV/atom.

=====

The following is a PBEsol calculation of a relaxed structure of CaReC2, from the Alexandria database.

Cell and atoms, written as CIF:
```
data_CaReC2
_space_group_name_H-M_alt 'I -4 2 d'
_space_group_IT_number 122
_space_group_name_Hall 'I -4 2bw'
_cell_length_a 5.173
_cell_length_b 5.173
_cell_length_c 9.636
_cell_angle_alpha 90.00
_cell_angle_beta 90.00
_cell_angle_gamma 90.00
loop_
_atom_site_label
_atom_site_type_symbol
_atom_site_fract_x
_atom_site_fract_y
_atom_site_fract_z
Ca1 Ca 0.000 0.000 0.000
Re1 Re 0.000 0.000 0.500
C1 C 0.147 0.250 0.625
```

Its density of states at the Fermi level is 1.8 states/eV/f.u. The calculation puts the energy of formation at 0.339 eV/atom.

=====

Which of these has the lowest energy of formation? Ca2PtC

=====

Number 4 is which compound? CaReC2

=====

Among the records above, which one has the highest energy of formation? CaSnP2C

=====

Copy entry 4 word for word.
The following is a PBEsol calculation of a relaxed structure of CaReC2, from the Alexandria database.

Cell and atoms, written as CIF:
```
data_CaReC2
_space_group_name_H-M_alt 'I -4 2 d'
_space_group_IT_number 122
_space_group_name_Hall 'I -4 2bw'
_cell_length_a 5.173
_cell_length_b 5.173
_cell_length_c 9.636
_cell_angle_alpha 90.00
_cell_angle_beta 90.00
_cell_angle_gamma 90.00
loop_
_atom_site_label
_atom_site_type_symbol
_atom_site_fract_x
_atom_site_fract_y
_atom_site_fract_z
Ca1 Ca 0.000 0.000 0.000
Re1 Re 0.000 0.000 0.500
C1 C 0.147 0.250 0.625
```

Its density of states at the Fermi level is 1.8 states/eV/f.u. The calculation puts the energy of formation at 0.339 eV/atom.